1.
## BeCdPt4 (PBE)

Data for BeCdPt4 after structural relaxation.

Cell lengths 5.2803, 5.2803, 5.2803 Å; angles 60.00, 60.00, 60.00 degrees
Closest atoms and distances in Å follow each position.
Positions (direct):
Be  0.0000  0.0000  0.0000  12 Pt 3.10, 4 Cd 3.23
Cd  0.7500  0.7500  0.7500  12 Pt 3.10, 4 Be 3.23
Pt  0.3748  0.3748  0.3748  6 Pt 2.64-2.65
Pt  0.3748  0.3748  0.8757  6 Pt 2.64-2.65
Pt  0.3748  0.8757  0.3748  6 Pt 2.64-2.65
Pt  0.8757  0.3748  0.3748  6 Pt 2.64-2.65

density of states at the Fermi level	1.430	states/eV/atom
total magnetic moment	0.00	μB/atom
raw total energy	-4.66	eV per atom

***

2.
## MgNpZnSi (PBE)

Data for MgNpZnSi after structural relaxation.

Cell lengths 4.7794, 4.7794, 4.7794 Å; angles 60.00, 60.00, 60.00 degrees
Closest atoms and distances in Å follow each position.
Positions (direct):
Mg  0.0000  0.0000  0.0000  4 Si 2.93, 4 Zn 2.93
Np  0.5000  0.5000  0.5000  4 Zn 2.93, 4 Si 2.93
Zn  0.2500  0.2500  0.2500  4 Mg 2.93, 4 Np 2.93
Si  0.7500  0.7500  0.7500  4 Mg 2.93, 4 Np 2.93

density of states at the Fermi level	1.867	states/eV/atom
total magnetic moment	1.07	μB/atom
formation energy from raw total energies	0.001	eV per atom
raw total energy	-5.31	eV per atom

***

3.
## TlCd2Ni (PBE)

Data for TlCd2Ni after structural relaxation.

Cell lengths 5.3756, 5.3756, 5.3756 Å; angles 133.68, 133.68, 67.58 degrees
Closest atoms and distances in Å follow each position.
Positions (direct):
Tl  0.0000  0.0000  0.0000  4 Ni 2.99, 8 Cd 3.08
Cd  0.2500  0.7500  0.5000  4 Cd 2.99, 4 Tl 3.08, 4 Ni 3.08
Cd  0.7500  0.2500  0.5000  4 Cd 2.99, 4 Tl 3.08, 4 Ni 3.08
Ni  0.5000  0.5000  0.0000  4 Tl 2.99, 8 Cd 3.08

density of states at the Fermi level	0.417	states/eV/atom
total magnetic moment	0.00	μB/atom
energy above the lowest structure with this stoichiometry	152	meV per atom
raw total energy	-2.26	eV per atom

***

4.
## Ac6Ge2As3I (PBE)

Data for Ac6Ge2As3I after structural relaxation.

Cell lengths 10.2879, 10.2879, 9.3237 Å; angles 103.00, 103.00, 25.60 degrees
Closest atoms and distances in Å follow each position.
Positions (direct):
Ac  0.0017  0.0017  0.2760  3 As 3.10-3.20, 1 Ge 3.17, 2 I 3.43
Ac  0.3244  0.3244  0.9104  3 As 3.18-3.26, 2 Ge 3.23, 1 I 3.43
Ac  0.3318  0.3318  0.4163  3 Ge 3.28, 3 As 3.28-3.29
Ac  0.6682  0.6682  0.5837  3 Ge 3.28, 3 As 3.28-3.29
Ac  0.6756  0.6756  0.0896  3 As 3.18-3.26, 2 Ge 3.23, 1 I 3.43
Ac  0.9983  0.9983  0.7240  3 As 3.10-3.20, 1 Ge 3.17, 2 I 3.43
Ge  0.1638  0.1638  0.3280  6 Ac 3.17-3.28
Ge  0.8362  0.8362  0.6720  6 Ac 3.17-3.28
As  0.1616  0.1616  0.8348  6 Ac 3.18-3.29
As  0.5000  0.5000  0.5000  6 Ac 3.10-3.28
As  0.8384  0.8384  0.1652  6 Ac 3.18-3.29
I  0.5000  0.5000  0.0000  6 Ac 3.43

density of states at the Fermi level	0.263	states/eV/atom
total magnetic moment	0.00	μB/atom
formation energy from raw total energies	-1.172	eV per atom
raw total energy	-5.29	eV per atom

***

5.
## CePmAl (PBE)

Data for CePmAl after structural relaxation.

Cell lengths 11.5111, 11.5111, 4.1959 Å; angles 90.00, 90.00, 163.41 degrees
Closest atoms and distances in Å follow each position.
Positions (direct):
Ce  0.2146  0.7854  0.7500  6 Ce 3.12-3.32, 5 Al 3.16-3.29, 1 Pm 3.41
Ce  0.7854  0.2146  0.2500  6 Ce 3.12-3.32, 5 Al 3.16-3.29, 1 Pm 3.41
Pm  0.0647  0.9353  0.7500  4 Al 3.19, 2 Pm 3.32, 1 Ce 3.41
Pm  0.9353  0.0647  0.2500  4 Al 3.19, 2 Pm 3.32, 1 Ce 3.41
Al  0.3591  0.6409  0.7500  5 Ce 3.16-3.29, 4 Pm 3.19, 2 Al 3.32
Al  0.6409  0.3591  0.2500  5 Ce 3.16-3.29, 4 Pm 3.19, 2 Al 3.32

density of states at the Fermi level	1.711	states/eV/atom
total magnetic moment	0.00	μB/atom
energy above the lowest structure with this stoichiometry	70	meV per atom
raw total energy	-4.95	eV per atom

***

6.
## ZrGaOF2 (PBE)

Data for ZrGaOF2 after structural relaxation.

Cell lengths 4.2596, 4.2596, 3.8167 Å; angles 90.00, 90.00, 90.00 degrees
Closest atoms and distances in Å follow each position.
Positions (direct):
Zr  0.0000  0.0000  0.0000  8 F 2.86, 4 O 3.01
Ga  0.5000  0.5000  0.5000  2 O 1.91, 4 F 2.13
O  0.5000  0.5000  0.0000  2 Ga 1.91
F  0.0000  0.5000  0.5000  2 Ga 2.13
F  0.5000  0.0000  0.5000  2 Ga 2.13

density of states at the Fermi level	0.673	states/eV/atom
total magnetic moment	0.48	μB/atom
formation energy from raw total energies	-1.319	eV per atom
energy above the lowest structure with this stoichiometry	1017	meV per atom
raw total energy	-5.37	eV per atom

***

7.
## Ba2LiCu2 (PBE)

Data for Ba2LiCu2 after structural relaxation.

Cell lengths 11.1846, 11.1846, 11.1846 Å; angles 160.74, 160.74, 27.38 degrees
Closest atoms and distances in Å follow each position.
Positions (direct):
Ba  0.1273  0.1273  0.0000  4 Cu 3.26
Ba  0.8727  0.8727  0.0000  4 Cu 3.26
Li  0.5000  0.5000  0.0000  4 Li 3.74, 8 Ba 3.83
Cu  0.2500  0.7500  0.5000  4 Cu 2.65
Cu  0.7500  0.2500  0.5000  4 Cu 2.65

density of states at the Fermi level	0.830	states/eV/atom
total magnetic moment	0.00	μB/atom
energy above the lowest structure with this stoichiometry	211	meV per atom
raw total energy	-2.58	eV per atom

***

8.
## La5Tb4Th2 (PBE)

Data for La5Tb4Th2 after structural relaxation.

Cell lengths 9.0248, 3.5360, 11.9300 Å; angles 90.00, 93.89, 90.00 degrees
Closest atoms and distances in Å follow each position.
Positions (direct):
La  0.0000  0.0000  0.0000  6 La 3.48-3.54, 4 Tb 3.72
La  0.0835  0.0000  0.2888  1 Th 3.39, 4 La 3.48-3.70, 6 Tb 3.67-3.78
La  0.3063  0.0000  0.8290  1 Th 3.31, 4 La 3.54-3.70, 2 Tb 3.65
La  0.6937  0.0000  0.1710  1 Th 3.31, 4 La 3.54-3.70, 2 Tb 3.65
La  0.9165  0.0000  0.7112  1 Th 3.39, 4 La 3.48-3.70, 6 Tb 3.67-3.78
Tb  0.2026  0.5000  0.5492  3 Tb 3.54-3.76, 4 Th 3.67-3.68, 6 La 3.67-3.84
Tb  0.3450  0.5000  0.1033  3 Tb 3.54-3.85, 8 La 3.65-3.78, 2 Th 3.68
Tb  0.6550  0.5000  0.8967  3 Tb 3.54-3.85, 8 La 3.65-3.78, 2 Th 3.68
Tb  0.7974  0.5000  0.4508  3 Tb 3.54-3.76, 4 Th 3.67-3.68, 6 La 3.67-3.84
Th  0.4514  0.0000  0.3674  3 Th 3.23-3.54, 2 La 3.31-3.39
Th  0.5486  0.0000  0.6326  3 Th 3.23-3.54, 2 La 3.31-3.39

density of states at the Fermi level	1.796	states/eV/atom
total magnetic moment	0.00	μB/atom
raw total energy	-5.16	eV per atom

***

9.
## DyNi9Sn2 (PBE)

Data for DyNi9Sn2 after structural relaxation.

Cell lengths 8.2094, 8.2094, 4.8756 Å; angles 90.00, 90.00, 90.00 degrees
Closest atoms and distances in Å follow each position.
Positions (direct):
Dy  0.0000  0.0000  0.0000  16 Ni 3.01-3.26, 4 Sn 3.23
Dy  0.5000  0.5000  0.0000  16 Ni 3.01-3.26, 4 Sn 3.23
Ni  0.0000  0.5000  0.5000  8 Ni 2.37-2.48
Ni  0.0654  0.2051  0.5000  8 Ni 2.48-2.66
Ni  0.1738  0.6738  0.2458  7 Ni 2.37-2.53, 1 Sn 2.59
Ni  0.1738  0.6738  0.7542  7 Ni 2.37-2.53, 1 Sn 2.59
Ni  0.2051  0.9346  0.5000  8 Ni 2.48-2.66
Ni  0.2949  0.4346  0.5000  8 Ni 2.48-2.66
Ni  0.3262  0.1738  0.2458  7 Ni 2.37-2.53, 1 Sn 2.59
Ni  0.3262  0.1738  0.7542  7 Ni 2.37-2.53, 1 Sn 2.59
Ni  0.4346  0.7051  0.5000  8 Ni 2.48-2.66
Ni  0.5000  0.0000  0.5000  8 Ni 2.37-2.48
Ni  0.5654  0.2949  0.5000  8 Ni 2.48-2.66
Ni  0.6738  0.8262  0.2458  7 Ni 2.37-2.53, 1 Sn 2.59
Ni  0.6738  0.8262  0.7542  7 Ni 2.37-2.53, 1 Sn 2.59
Ni  0.7051  0.5654  0.5000  8 Ni 2.48-2.66
Ni  0.7949  0.0654  0.5000  8 Ni 2.48-2.66
Ni  0.8262  0.3262  0.2458  7 Ni 2.37-2.53, 1 Sn 2.59
Ni  0.8262  0.3262  0.7542  7 Ni 2.37-2.53, 1 Sn 2.59
Ni  0.9346  0.7949  0.5000  8 Ni 2.48-2.66
Sn  0.1281  0.3719  0.0000  12 Ni 2.59-2.86
Sn  0.3719  0.8719  0.0000  12 Ni 2.59-2.86
Sn  0.6281  0.1281  0.0000  12 Ni 2.59-2.86
Sn  0.8719  0.6281  0.0000  12 Ni 2.59-2.86

density of states at the Fermi level	1.424	states/eV/atom
total magnetic moment	0.00	μB/atom
energy above the lowest structure with this stoichiometry	0	meV per atom
raw total energy	-5.63	eV per atom

***

10.
## Pm5Sm3S8 (PBE)

Data for Pm5Sm3S8 after structural relaxation.

Cell lengths 8.0487, 8.0487, 8.0487 Å; angles 60.04, 60.04, 60.04 degrees
Closest atoms and distances in Å follow each position.
Positions (direct):
Pm  0.0000  0.0000  0.0000  6 S 2.85
Pm  0.0000  0.5000  0.5000  6 S 2.86
Pm  0.5000  0.0000  0.5000  6 S 2.86
Pm  0.5000  0.5000  0.0000  6 S 2.86
Pm  0.5000  0.5000  0.5000  6 S 2.85
Sm  0.0000  0.0000  0.5000  6 S 2.84
Sm  0.0000  0.5000  0.0000  6 S 2.84
Sm  0.5000  0.0000  0.0000  6 S 2.84
S  0.2484  0.7500  0.7500  2 Sm 2.84, 4 Pm 2.85-2.86
S  0.2492  0.2492  0.2492  3 Sm 2.84, 3 Pm 2.86
S  0.2500  0.2500  0.7516  2 Sm 2.84, 4 Pm 2.85-2.86
S  0.2500  0.7516  0.2500  2 Sm 2.84, 4 Pm 2.85-2.86
S  0.7500  0.2484  0.7500  2 Sm 2.84, 4 Pm 2.85-2.86
S  0.7500  0.7500  0.2484  2 Sm 2.84, 4 Pm 2.85-2.86
S  0.7508  0.7508  0.7508  3 Sm 2.84, 3 Pm 2.86
S  0.7516  0.2500  0.2500  2 Sm 2.84, 4 Pm 2.85-2.86

density of states at the Fermi level	0.586	states/eV/atom
total magnetic moment	0.00	μB/atom
formation energy from raw total energies	-2.026	eV per atom
raw total energy	-6.46	eV per atom

***

What did the seventh record say?
## Ba2LiCu2 (PBE)

Data for Ba2LiCu2 after structural relaxation.

Cell lengths 11.1846, 11.1846, 11.1846 Å; angles 160.74, 160.74, 27.38 degrees
Closest atoms and distances in Å follow each position.
Positions (direct):
Ba  0.1273  0.1273  0.0000  4 Cu 3.26
Ba  0.8727  0.8727  0.0000  4 Cu 3.26
Li  0.5000  0.5000  0.0000  4 Li 3.74, 8 Ba 3.83
Cu  0.2500  0.7500  0.5000  4 Cu 2.65
Cu  0.7500  0.2500  0.5000  4 Cu 2.65

density of states at the Fermi level	0.830	states/eV/atom
total magnetic moment	0.00	μB/atom
energy above the lowest structure with this stoichiometry	211	meV per atom
raw total energy	-2.58	eV per atom